Compound: CeZr2O6
Source: Alexandria
Functional: PBE-GGA
Structure: optimized geometry Values from VASP.

Summary:
The energy above the most stable polymorph in this dataset is 0.001 eV per atom. The density of states at the Fermi level is 0.00 states/eV/f.u. Its space-group type is No. 12. As for the formation energy from raw total energies: -3317 meV/atom.

Structure (Quantum ESPRESSO input):
```
&SYSTEM
  ibrav = 0, nat = 9, ntyp = 3
/
ATOMIC_SPECIES
O 16.00 O.upf
Zr 91.22 Zr.upf
Ce 140.12 Ce.upf
ATOMIC_POSITIONS crystal
O 0.2631 0.3613 0.1124
O 0.6375 0.3065 0.4184
O 0.9793 0.8428 0.1986
O 0.0207 0.1572 0.8014
O 0.7369 0.6387 0.8876
O 0.3625 0.6935 0.5816
Zr 0.1794 0.7634 0.8777
Zr 0.8206 0.2366 0.1223
Ce 0.0000 0.5000 0.5000
CELL_PARAMETERS angstrom
3.7536 0.0000 1.2038
1.5040 5.2628 1.7643
-0.0876 0.3583 6.7268
```

***

Compound: CeZrO4
Source: Alexandria
Functional: PBE-GGA
Structure: optimized geometry Values from VASP.

Summary:
The density of states at the Fermi level is 0.00 states/eV/f.u. Its space-group type is No. 13. As for the formation energy from raw total energies: -3362 meV/atom.

Structure (Quantum ESPRESSO input):
```
&SYSTEM
  ibrav = 0, nat = 12, ntyp = 3
/
ATOMIC_SPECIES
O 16.00 O.upf
Zr 91.22 Zr.upf
Ce 140.12 Ce.upf
ATOMIC_POSITIONS crystal
O 0.7553 0.5366 0.4637
O 0.7555 0.4642 0.9639
O 0.2445 0.0358 0.9639
O 0.7553 0.0366 0.5363
O 0.2447 0.4634 0.5363
O 0.7555 0.9642 0.0361
O 0.2447 0.9634 0.4637
O 0.2445 0.5358 0.0361
Zr 0.0000 0.7500 0.2494
Zr 0.0000 0.2500 0.7506
Ce 0.5000 0.7500 0.7498
Ce 0.5000 0.2500 0.2502
CELL_PARAMETERS angstrom
-2.8217 -2.7785 -3.5249
4.5092 -1.1019 -2.7327
0.6995 -4.4525 2.9496
```

***

Compound: CeZr4O10
Source: Alexandria
Functional: PBE-GGA
Structure: optimized geometry Values from VASP.

Summary:
The density of states at the Fermi level is 0.00 states/eV/f.u. Its space-group type is No. 139. As for the formation energy from raw total energies: -3294 meV/atom.

Structure (Quantum ESPRESSO input):
```
&SYSTEM
  ibrav = 0, nat = 15, ntyp = 3
/
ATOMIC_SPECIES
O 16.00 O.upf
Zr 91.22 Zr.upf
Ce 140.12 Ce.upf
ATOMIC_POSITIONS crystal
O 0.5540 0.0540 0.5000
O 0.3481 0.8481 0.5000
O 0.4460 0.9460 0.5000
O 0.6519 0.1519 0.5000
O 0.0540 0.5540 0.5000
O 0.7500 0.2500 0.5000
O 0.2500 0.7500 0.5000
O 0.1519 0.6519 0.5000
O 0.8481 0.3481 0.5000
O 0.9460 0.4460 0.5000
Zr 0.6028 0.6028 0.0000
Zr 0.7991 0.7991 0.0000
Zr 0.2009 0.2009 0.0000
Zr 0.3972 0.3972 0.0000
Ce 0.0000 0.0000 0.0000
CELL_PARAMETERS angstrom
-0.9915 0.1091 -13.2854
-3.8923 -4.0421 -12.0834
0.3365 3.4868 12.8541
```

***

Compound: CeZr7O16
Source: Alexandria
Functional: PBE-GGA
Structure: optimized geometry Values from VASP.

Summary:
The energy above the most stable polymorph in this dataset is 0.000 eV per atom. The density of states at the Fermi level is 0.00 states/eV/f.u. Its space-group type is No. 1. As for the formation energy from raw total energies: -3339 meV/atom.

Structure (Quantum ESPRESSO input):
```
&SYSTEM
  ibrav = 0, nat = 24, ntyp = 3
/
ATOMIC_SPECIES
Zr 91.22 Zr.upf
O 16.00 O.upf
Ce 140.12 Ce.upf
ATOMIC_POSITIONS crystal
Zr 0.2067 0.4900 0.4476
Zr 0.7137 0.9508 0.4948
Zr 0.2877 0.0535 0.5107
Zr 0.2083 0.9816 0.9445
Zr 0.7859 0.5105 0.5519
Zr 0.7922 0.0118 0.0565
Zr 0.7113 0.4398 0.9861
O 0.0119 0.3606 0.1174
O 0.0247 0.8674 0.6119
O 0.6544 0.6952 0.0099
O 0.4698 0.3860 0.6314
O 0.4851 0.9015 0.1379
O 0.6482 0.1958 0.5205
O 0.5282 0.6147 0.3787
O 0.9657 0.6339 0.8844
O 0.8611 0.9935 0.8097
O 0.1382 0.5177 0.6829
O 0.5249 0.1040 0.8600
O 0.3622 0.2968 0.9795
O 0.9755 0.1305 0.3916
O 0.8484 0.4880 0.3039
O 0.1504 0.0216 0.1939
O 0.3518 0.8070 0.4790
Ce 0.2940 0.5477 0.0154
CELL_PARAMETERS angstrom
6.9437 0.0015 -0.0034
-3.3308 6.6912 -0.0117
-3.3397 -1.6916 6.4945
```

***

Compound: Ce5Zr3O16
Source: Alexandria
Functional: PBE-GGA
Structure: optimized geometry Values from VASP.

Summary:
The density of states at the Fermi level is 0.00 states/eV/f.u. Its space-group type is No. 21. As for the formation energy from raw total energies: -3379 meV/atom.

Structure (Quantum ESPRESSO input):
```
&SYSTEM
  ibrav = 0, nat = 24, ntyp = 3
/
ATOMIC_SPECIES
O 16.00 O.upf
Ce 140.12 Ce.upf
Zr 91.22 Zr.upf
ATOMIC_POSITIONS crystal
O 0.7470 0.0259 0.7088
O 0.0225 0.2350 0.7973
O 0.2407 0.5230 0.7298
O 0.7593 0.4770 0.7298
O 0.0259 0.7470 0.2912
O 0.5230 0.2407 0.2702
O 0.9741 0.2530 0.2912
O 0.5163 0.7451 0.7617
O 0.4770 0.7593 0.2702
O 0.9775 0.7650 0.7973
O 0.2350 0.0225 0.2027
O 0.2530 0.9741 0.7088
O 0.7650 0.9775 0.2027
O 0.7451 0.5163 0.2383
O 0.4837 0.2549 0.7617
O 0.2549 0.4837 0.2383
Ce 0.5000 0.0000 0.9907
Ce 0.0000 0.5000 0.0093
Ce 0.2427 0.2427 0.5000
Ce 0.5000 0.5000 0.0000
Ce 0.7573 0.7573 0.5000
Zr 0.0000 0.0000 0.0000
Zr 0.7434 0.2566 0.5000
Zr 0.2566 0.7434 0.5000
CELL_PARAMETERS angstrom
7.6074 -0.0052 0.0000
-0.0778 7.6070 0.0000
0.0000 0.0000 5.4068
```

***

Compound: CeZr2O6
Source: Alexandria
Functional: PBE-GGA
Structure: optimized geometry Values from VASP.

Summary:
The energy above the most stable polymorph in this dataset is 0.002 eV per atom. The density of states at the Fermi level is 0.00 states/eV/f.u. Its space-group type is No. 71. As for the formation energy from raw total energies: -3315 meV/atom.

Structure (Quantum ESPRESSO input):
```
&SYSTEM
  ibrav = 0, nat = 9, ntyp = 3
/
ATOMIC_SPECIES
O 16.00 O.upf
Ce 140.12 Ce.upf
Zr 91.22 Zr.upf
ATOMIC_POSITIONS crystal
O 0.9151 0.1726 0.7425
O 0.5699 0.8274 0.7425
O 0.0849 0.8274 0.2575
O 0.4301 0.1726 0.2575
O 0.7379 0.5000 0.2379
O 0.2621 0.5000 0.7621
Ce 0.0000 0.0000 0.0000
Zr 0.6691 0.6691 0.0000
Zr 0.3309 0.3309 0.0000
CELL_PARAMETERS angstrom
5.6214 1.3471 2.7784
1.9196 6.1005 0.4832
-4.5486 -4.2837 1.4470
```

***

Compound: CeZr7O16
Source: Alexandria
Functional: PBE-GGA
Structure: optimized geometry Values from VASP.

Summary:
The energy above the most stable polymorph in this dataset is 0.022 eV per atom. The density of states at the Fermi level is 0.00 states/eV/f.u. Its space-group type is No. 115. As for the formation energy from raw total energies: -3317 meV/atom.

Structure (Quantum ESPRESSO input):
```
&SYSTEM
  ibrav = 0, nat = 24, ntyp = 3
/
ATOMIC_SPECIES
Zr 91.22 Zr.upf
O 16.00 O.upf
Ce 140.12 Ce.upf
ATOMIC_POSITIONS crystal
Zr 0.2518 0.2518 0.5000
Zr 0.2518 0.7482 0.5000
Zr 0.7482 0.2518 0.5000
Zr 0.5000 0.0000 0.9993
Zr 0.0000 0.5000 0.0007
Zr 0.5000 0.5000 0.0000
Zr 0.7482 0.7482 0.5000
O 0.2449 0.5000 0.1918
O 0.5000 0.7325 0.3078
O 0.5000 0.2449 0.8082
O 0.0000 0.7348 0.7850
O 0.0000 0.2488 0.3005
O 0.5000 0.2675 0.3078
O 0.2652 0.0000 0.2150
O 0.7551 0.5000 0.1918
O 0.2675 0.5000 0.6922
O 0.5000 0.7551 0.8082
O 0.0000 0.7512 0.3005
O 0.7325 0.5000 0.6922
O 0.0000 0.2652 0.7850
O 0.7512 0.0000 0.6995
O 0.2488 0.0000 0.6995
O 0.7348 0.0000 0.2150
Ce 0.0000 0.0000 0.0000
CELL_PARAMETERS angstrom
-6.5991 -2.8394 1.5640
3.2401 -5.8864 2.9848
0.0719 2.4353 4.7247
```

***

Compound: Ce4Zr6O19
Source: Alexandria
Functional: PBE-GGA
Structure: optimized geometry Values from VASP.

Summary:
The density of states at the Fermi level is 13.40 states/eV/f.u. Its space-group type is No. 197. As for the formation energy from raw total energies: -3242 meV/atom.

Structure (Quantum ESPRESSO input):
```
&SYSTEM
  ibrav = 0, nat = 29, ntyp = 3
/
ATOMIC_SPECIES
Zr 91.22 Zr.upf
O 16.00 O.upf
Ce 140.12 Ce.upf
ATOMIC_POSITIONS crystal
Zr 0.5000 0.1706 0.6706
Zr 0.5000 0.8294 0.3294
Zr 0.8294 0.3294 0.5000
Zr 0.1706 0.6706 0.5000
Zr 0.6706 0.5000 0.1706
Zr 0.3294 0.5000 0.8294
O 0.3560 0.0000 0.3560
O 0.2630 0.6683 0.0296
O 0.0296 0.2630 0.6683
O 0.7667 0.4053 0.7370
O 0.6440 0.0000 0.6440
O 0.0000 0.6440 0.6440
O 0.4053 0.7370 0.7667
O 0.3560 0.3560 0.0000
O 0.0000 0.0000 0.0000
O 0.7370 0.7667 0.4053
O 0.3317 0.5947 0.3614
O 0.0000 0.3560 0.3560
O 0.6440 0.6440 0.0000
O 0.6386 0.2333 0.9704
O 0.2333 0.9704 0.6386
O 0.5947 0.3614 0.3317
O 0.3614 0.3317 0.5947
O 0.9704 0.6386 0.2333
O 0.6683 0.0296 0.2630
Ce 0.0000 0.0000 0.7025
Ce 0.7025 0.0000 0.0000
Ce 0.0000 0.7025 0.0000
Ce 0.2975 0.2975 0.2975
CELL_PARAMETERS angstrom
7.7570 0.0000 -2.7425
-3.8785 6.7178 -2.7425
0.0000 0.0000 8.2276
```

***

Compound: CeZr3O
Source: Alexandria
Functional: PBE-GGA
Structure: optimized geometry Values from VASP.

Summary:
The density of states at the Fermi level is 6.58 states/eV/f.u. Its space-group type is No. 221. As for the formation energy from raw total energies: -911 meV/atom.

Structure (Quantum ESPRESSO input):
```
&SYSTEM
  ibrav = 0, nat = 5, ntyp = 3
/
ATOMIC_SPECIES
Zr 91.22 Zr.upf
Ce 140.12 Ce.upf
O 16.00 O.upf
ATOMIC_POSITIONS crystal
Zr 0.0000 0.5000 0.0000
Zr 0.0000 0.0000 0.5000
Zr 0.5000 0.0000 0.0000
Ce 0.5000 0.5000 0.5000
O 0.0000 0.0000 0.0000
CELL_PARAMETERS angstrom
-3.7846 -0.9570 2.4900
2.6570 -1.7361 3.3713
0.2368 4.1844 1.9682
```

***

Compound: CeZrO2
Source: Alexandria
Functional: PBE-GGA
Structure: optimized geometry Values from VASP.

Summary:
The energy above the most stable polymorph in this dataset is 0.649 eV per atom. The density of states at the Fermi level is 5.15 states/eV/f.u. Its space-group type is No. 123. As for the formation energy from raw total energies: -1952 meV/atom.

Structure (Quantum ESPRESSO input):
```
&SYSTEM
  ibrav = 0, nat = 4, ntyp = 3
/
ATOMIC_SPECIES
Ce 140.12 Ce.upf
O 16.00 O.upf
Zr 91.22 Zr.upf
ATOMIC_POSITIONS crystal
Ce 0.5000 0.5000 0.5000
O 0.0000 0.0000 0.1998
O 0.0000 0.0000 0.8002
Zr 0.5000 0.5000 0.0000
CELL_PARAMETERS angstrom
-2.8611 0.1618 0.2823
-0.3253 -1.4887 -2.4433
0.0194 -5.4863 3.3401
```

***

Compound: CeZrO4
Source: Alexandria
Functional: PBE-GGA
Structure: optimized geometry Values from VASP.

Summary:
The density of states at the Fermi level is 0.00 states/eV/f.u. Its space-group type is No. 227. As for the formation energy from raw total energies: -3341 meV/atom.

Structure (Quantum ESPRESSO input):
```
&SYSTEM
  ibrav = 0, nat = 24, ntyp = 3
/
ATOMIC_SPECIES
O 16.00 O.upf
Zr 91.22 Zr.upf
Ce 140.12 Ce.upf
ATOMIC_POSITIONS crystal
O 0.0089 0.4911 0.0089
O 0.7589 0.2411 0.7589
O 0.0089 0.0089 0.4911
O 0.7589 0.2411 0.2411
O 0.0089 0.4911 0.4911
O 0.5000 0.5000 0.5000
O 0.2411 0.7589 0.7589
O 0.2411 0.2411 0.7589
O 0.2411 0.7589 0.2411
O 0.7589 0.7589 0.2411
O 0.4911 0.0089 0.4911
O 0.0000 0.0000 0.0000
O 0.4911 0.4911 0.0089
O 0.2500 0.2500 0.2500
O 0.4911 0.0089 0.0089
O 0.7500 0.7500 0.7500
Zr 0.1250 0.1250 0.6250
Zr 0.6250 0.1250 0.1250
Zr 0.1250 0.6250 0.1250
Zr 0.1250 0.1250 0.1250
Ce 0.6250 0.6250 0.1250
Ce 0.1250 0.6250 0.6250
Ce 0.6250 0.1250 0.6250
Ce 0.6250 0.6250 0.6250
CELL_PARAMETERS angstrom
7.5053 0.0000 0.0000
3.7526 6.4998 0.0000
3.7526 2.1666 6.1280
```

***

Compound: CeZrO
Source: Alexandria
Functional: PBE-GGA
Structure: optimized geometry Values from VASP.

Summary:
The energy above the most stable polymorph in this dataset is 0.404 eV per atom. The density of states at the Fermi level is 4.35 states/eV/f.u. Its space-group type is No. 139. As for the formation energy from raw total energies: -1201 meV/atom.

Structure (Quantum ESPRESSO input):
```
&SYSTEM
  ibrav = 0, nat = 6, ntyp = 3
/
ATOMIC_SPECIES
O 16.00 O.upf
Ce 140.12 Ce.upf
Zr 91.22 Zr.upf
ATOMIC_POSITIONS crystal
O 0.9265 0.9265 0.8531
O 0.0735 0.0735 0.1469
Ce 0.2109 0.2109 0.4218
Ce 0.7891 0.7891 0.5782
Zr 0.0000 0.5000 0.0000
Zr 0.5000 0.0000 0.0000
CELL_PARAMETERS angstrom
-2.4320 -1.1557 3.0276
-1.6761 -2.7911 -2.4118
7.4453 -3.2750 2.0194
```

***

Let's list mass density in order: 5.3, 6.4, 6.2, 5.7, 6.5, 6.4, 6.0, 5.5, 7.2, 8.2, 6.6, 6.4 g/cm³.